[1]
DFT (GGA-PBE) results for a relaxed structure of Ca2Al9Pd6.

Unit cell a=5.5046 b=5.5046 c=12.3725 alpha=90.00 beta=90.00 gamma=120.00
Sites, in units of the cell vectors:
Al 0.0000 0.5000 0.8381
Al 0.5000 0.5000 0.5000
Al 0.0000 0.5000 0.1619
Al 0.5000 0.0000 0.8381
Al 0.5000 0.0000 0.1619
Al 0.5000 0.5000 0.1619
Al 0.0000 0.5000 0.5000
Al 0.5000 0.0000 0.5000
Al 0.5000 0.5000 0.8381
Ca 0.0000 0.0000 0.3376
Ca 0.0000 0.0000 0.6624
Pd 0.3333 0.6667 0.3284
Pd 0.3333 0.6667 0.6716
Pd 0.3333 0.6667 0.0000
Pd 0.6667 0.3333 0.6716
Pd 0.6667 0.3333 0.3284
Pd 0.6667 0.3333 0.0000

crystal system: hexagonal
ΔH_f (0 K): -10.01 eV/f.u.
space group: No. 191
mass density: 4.92 g/cm3

[2]
DFT (GGA-PBE) results for a relaxed structure of La3Nd4Sm5.

Unit cell a=7.3419 b=11.6301 c=13.2615 alpha=151.30 beta=56.47 gamma=129.13
Sites, in units of the cell vectors:
Sm 0.5000 0.0000 0.5000
Sm 0.2503 0.4983 0.9985
Sm 0.7497 0.5017 0.0015
Sm 0.3319 0.6671 0.8346
Sm 0.6681 0.3329 0.1654
Nd 0.0830 0.1646 0.3318
Nd 0.9170 0.8354 0.6682
Nd 0.1679 0.3358 0.1679
Nd 0.8321 0.6642 0.8321
La 0.5816 0.1651 0.3332
La 0.0000 0.0000 0.5000
La 0.4184 0.8349 0.6668

relative energy among the computed polymorphs: 0 meV/atom
crystal system: triclinic
ΔH_f (0 K): 0.20 eV/f.u.
space group: No. 2
mass density: 6.87 g/cm3